1) Li2InGaH: optimized geometry, PBE.

Cell: 4.0748 4.0748 4.5875 Å, 90.00 90.00 90.00°
With the nearest neighbours (Å) after each atom.
Atoms (fractional coordinates):
Li 0.0000 0.5000 0.0000  2 H 2.04
Li 0.5000 0.0000 0.0000  2 H 2.04
In 0.0000 0.0000 0.5000  2 H 2.29
Ga 0.5000 0.5000 0.5000  4 In 2.88, 8 Li 3.07
H 0.0000 0.0000 0.0000  4 Li 2.04

size of the total moment = 0.000 μB per formula unit
space group = No. 123

***

2) Li2InGaH: optimized geometry, PBE.

Cell: 4.3502 4.3502 3.9040 Å, 90.00 90.00 90.00°
With the nearest neighbours (Å) after each atom.
Atoms (fractional coordinates):
Li 0.0000 0.5000 0.0000  2 H 2.18
Li 0.5000 0.0000 0.0000  2 H 2.18
In 0.0000 0.0000 0.5000  8 Li 2.92, 4 Ga 3.08
Ga 0.5000 0.5000 0.5000  2 H 1.95
H 0.5000 0.5000 0.0000  2 Ga 1.95, 4 Li 2.18

size of the total moment = 0.000 μB per formula unit
space group = No. 123

***

Most stable structure: 2)

***

1) Mg2InGaH: optimized geometry, PBE.

Cell: 4.3587 4.3587 4.6223 Å, 90.00 90.00 90.00°
With the nearest neighbours (Å) after each atom.
Atoms (fractional coordinates):
Mg 0.0000 0.5000 0.0000  2 H 2.18
Mg 0.5000 0.0000 0.0000  2 H 2.18
In 0.0000 0.0000 0.5000  4 Ga 3.08, 8 Mg 3.18
Ga 0.5000 0.5000 0.5000  2 H 2.31
H 0.5000 0.5000 0.0000  4 Mg 2.18, 2 Ga 2.31

size of the total moment = 0.000 μB per formula unit
space group = No. 123

***

2) Mg2InGaH: optimized geometry, PBE.

Cell: 4.3701 4.3701 4.6460 Å, 90.00 90.00 90.00°
With the nearest neighbours (Å) after each atom.
Atoms (fractional coordinates):
Mg 0.0000 0.5000 0.0000  2 H 2.19
Mg 0.5000 0.0000 0.0000  2 H 2.19
In 0.0000 0.0000 0.5000  2 H 2.32
Ga 0.5000 0.5000 0.5000  4 In 3.09, 8 Mg 3.19
H 0.0000 0.0000 0.0000  4 Mg 2.19, 2 In 2.32

size of the total moment = 0.000 μB per formula unit
space group = No. 123

***

Most stable structure: 1)